Record 1
An optimized crystal structure of NaCd3Pd. Source: the Alexandria database, functional GGA-PBEsol.

Cell lengths 5.128, 5.128, 5.128 Å; angles 90.00, 90.00, 90.00 degrees
Element x y z (fractional)
Cd1 0.500 0.000 0.000
Cd2 0.000 0.500 0.000
Cd3 0.000 0.000 0.500
Na1 0.500 0.500 0.500
Pd1 0.000 0.000 0.000

Properties
E above lowest polymorph = 0 meV/atom

=====

Record 2
An optimized crystal structure of Na2CdPd. Source: the Alexandria database, functional GGA-PBEsol.

Cell lengths 3.957, 3.957, 10.885 Å; angles 100.47, 100.47, 90.00 degrees
Element x y z (fractional)
Cd1 0.000 0.000 0.000
Cd2 0.250 0.750 0.500
Na1 0.863 0.375 0.250
Na2 0.387 0.875 0.250
Na3 0.125 0.137 0.750
Na4 0.625 0.613 0.750
Pd1 0.750 0.250 0.500
Pd2 0.500 0.500 0.000

=====

Number 1: DFT formation energy -0.0317 eV per atom. Number 2: DFT formation energy 0.0559 eV per atom.